(1)
Computed, not measured: a relaxed SrTi3F crystal at the PBE level of DFT.

Calculated values
Offset from the most stable computed form = 1939 meV/atom
Raw total energy = -17.76 eV for the cell shown

Lattice parameters (Å, degrees): 4.948 4.948 4.948 90.00 90.00 90.00
Space group Pm-3m (No. 221)
Unique sites:
1 Sr 0.000 0.000 0.000 x1
2 Ti 0.000 0.000 0.500 x3
3 F 0.500 0.500 0.500 x1

***

(2)
Computed, not measured: a relaxed SrTiF3 crystal at the PBE level of DFT.

Calculated values
Offset from the most stable computed form = 0 meV/atom
Raw total energy = -27.93 eV for the cell shown

Lattice parameters (Å, degrees): 4.333 4.333 4.333 90.00 90.00 90.00
Space group Pm-3m (No. 221)
Unique sites:
1 Sr 0.000 0.000 0.000 x1
2 Ti 0.500 0.500 0.500 x1
3 F 0.000 0.500 0.500 x3

***

(3)
Computed, not measured: a relaxed Sr3TiF crystal at the PBE level of DFT.

Calculated values
Offset from the most stable computed form = 0 meV/atom
Raw total energy = -18.22 eV for the cell shown

Lattice parameters (Å, degrees): 5.422 5.422 5.422 90.00 90.00 90.00
Space group Pm-3m (No. 221)
Unique sites:
1 Sr 0.000 0.000 0.500 x3
2 Ti 0.500 0.500 0.500 x1
3 F 0.000 0.000 0.000 x1

***

(4)
Computed, not measured: a relaxed SrTiF2 crystal at the PBE level of DFT.

Calculated values
Offset from the most stable computed form = 816 meV/atom
Raw total energy = -76.58 eV for the cell shown

Lattice parameters (Å, degrees): 6.582 6.582 6.582 90.00 90.00 90.00
Space group Fm-3m (No. 225)
Unique sites:
1 Sr 0.000 0.000 0.000 x4
2 Ti 0.000 0.000 0.500 x4
3 F 0.250 0.250 0.250 x8

***

(5)
Computed, not measured: a relaxed Sr2TiF crystal at the PBE level of DFT.

Calculated values
Offset from the most stable computed form = 0 meV/atom
Raw total energy = -65.01 eV for the cell shown

Lattice parameters (Å, degrees): 7.667 7.667 8.746 90.00 90.00 90.00
Space group I-42d (No. 122)
Unique sites:
1 Sr 0.141 0.250 0.125 x8
2 Ti 0.000 0.000 0.500 x4
3 F 0.000 0.000 0.000 x4

***

(6)
Computed, not measured: a relaxed Sr2TiF crystal at the PBE level of DFT.

Calculated values
Offset from the most stable computed form = 652 meV/atom
Raw total energy = -54.58 eV for the cell shown

Lattice parameters (Å, degrees): 7.989 7.989 7.989 90.00 90.00 90.00
Space group Fm-3m (No. 225)
Unique sites:
1 Sr 0.250 0.250 0.250 x8
2 Ti 0.000 0.000 0.000 x4
3 F 0.000 0.000 0.500 x4